VASP calculation (PBE) on crystalline PmScCo2 at its relaxed geometry.

Cell lengths 3.2835, 3.2835, 6.5823 Å; angles 90.00, 90.00, 90.00 degrees
Sites, in units of the cell vectors:
Pm: 0.0000 0.0000 0.0000
Sc: 0.0000 0.0000 0.5000
Co: 0.5000 0.5000 0.2788
Co: 0.5000 0.5000 0.7212

Output
energy above the lowest structure with this stoichiometry	0	meV/atom
final energy	-6.45	eV per atom
density of states at the Fermi level	3.3	states/eV/f.u.
DFT formation energy	-0.122	eV/atom